<A>
Density functional theory data (GGA-PBE) for DyTmLu after structural relaxation.

magnetization = 0.0 μB/cell

Lattice parameters (Å, degrees): 3.4065 5.5253 5.5253 120.00 90.00 90.00
With the nearest neighbours (Å) after each atom.
Fractional positions:
Lu (0.1664, 0.0000, 0.0000)  3 Tm 3.19, 2 Lu 3.41
Tm (0.1669, 0.3333, 0.6667)  3 Lu 3.19, 2 Tm 3.41
Dy (0.6667, 0.6667, 0.3333)  2 Dy 3.41, 6 Lu 3.62, 6 Tm 3.62


<B>
Density functional theory data (GGA-PBE) for DyTmLu after structural relaxation.

magnetization = 0.0 μB/cell

Lattice parameters (Å, degrees): 3.4839 3.4839 7.8295 102.86 102.86 90.00
With the nearest neighbours (Å) after each atom.
Fractional positions:
Lu (0.6673, 0.6673, 0.3345)  4 Tm 3.48, 4 Lu 3.48, 4 Dy 3.50
Tm (0.3325, 0.3325, 0.6649)  4 Lu 3.48, 4 Tm 3.48, 4 Dy 3.51
Dy (0.0003, 0.0003, 0.0005)  4 Dy 3.48, 4 Lu 3.50, 4 Tm 3.51


<B> (57 meV/atom below the next structure)